4
Lattice="0.0000 3.1972 3.1972 3.1972 0.0000 3.1972 3.1972 3.1972 0.0000" Properties=species:S:1:pos:R:3 comment="TaZn2As (PBE, relaxed)" m_tot_mub_per_fu=0.00 energy_ev_per_cell=-17.8 space_group="F-43m (216)" pbc="T T T"
As 3.1972 3.1972 3.1972
Zn 4.7958 4.7958 4.7958
Zn 0.0000 0.0000 0.0000
Ta 1.5986 1.5986 1.5986